Record 1
The following is a DFT calculation (PBE) of a geometry-optimized Pu3PdRh5 structure.

Summary:
E_form: -442 meV per atom
Magnetization: 1.464 μB/atom
Energy: -9.881 eV per atom
Density of states at the Fermi level: 41.717 states/eV/cell

Lattice parameters (Å, degrees): 8.0760 8.0760 5.7147 90.00 90.00 120.00
Last column: nearest neighbours and their distance in Å.
Space group P6_3/mcm (No. 193)
Unique sites:
1 Pu 0.0000 0.3555 0.2500 (multiplicity 6)  9 Rh 2.70-2.97
2 Pd 0.0000 0.0000 0.0000 (multiplicity 2)  2 Pd 2.86, 6 Rh 2.88
3 Rh 0.0000 0.3101 0.7500 (multiplicity 6)  5 Pu 2.70-2.88, 2 Pd 2.88
4 Rh 0.3333 0.6667 0.0000 (multiplicity 4)  8 Rh 2.86-3.13, 6 Pu 2.97

***

Record 2
The following is a DFT calculation (PBE) of a geometry-optimized Pu12PdRh7 structure.

Summary:
E_form: -68 meV per atom
Magnetization: 3.219 μB/atom
Energy: -11.499 eV per atom
Density of states at the Fermi level: 166.692 states/eV/cell

Lattice parameters (Å, degrees): 10.1665 10.1665 10.1665 90.00 90.00 90.00
Last column: nearest neighbours and their distance in Å.
Space group Im-3 (No. 204)
Unique sites:
1 Pu 0.0000 0.1831 0.3076 (multiplicity 24)  3 Rh 2.70
2 Pd 0.0000 0.0000 0.0000 (multiplicity 2)  12 Pu 3.64
3 Rh 0.0000 0.0000 0.5000 (multiplicity 6)  4 Pu 2.70
4 Rh 0.2500 0.2500 0.2500 (multiplicity 8)  6 Pu 2.70

***

Record 3
The following is a DFT calculation (PBE) of a geometry-optimized Pu2Pd3Rh3 structure.

Summary:
E_form: -458 meV per atom
Magnetization: 0.854 μB/atom
Energy: -8.745 eV per atom
Density of states at the Fermi level: 24.949 states/eV/cell

Lattice parameters (Å, degrees): 3.9573 4.0945 8.4391 90.00 90.00 90.00
Last column: nearest neighbours and their distance in Å.
Space group Pmmm (No. 47)
Unique sites:
1 Pu 0.0000 0.0000 0.2450 (multiplicity 2)  6 Rh 2.85-2.86, 6 Pd 2.91-2.97
2 Pd 0.0000 0.5000 0.0000 (multiplicity 1)  8 Rh 2.85-2.89, 4 Pu 2.91
3 Pd 0.0000 0.5000 0.5000 (multiplicity 1)  4 Pd 2.85, 4 Rh 2.89, 4 Pu 2.97
4 Pd 0.5000 0.0000 0.5000 (multiplicity 1)  4 Pd 2.85, 4 Pu 2.92, 4 Rh 2.94
5 Rh 0.5000 0.0000 0.0000 (multiplicity 1)  4 Pd 2.85, 4 Pu 2.86, 4 Rh 2.94
6 Rh 0.5000 0.5000 0.2497 (multiplicity 2)  4 Pu 2.85, 6 Pd 2.89-2.94, 2 Rh 2.94

***

Record 4
The following is a DFT calculation (PBE) of a geometry-optimized PuPdRh structure.

Summary:
E_form: -307 meV per atom
Magnetization: 1.646 μB/atom
Polymorph energy (0 for the lowest one): 144 meV/atom
Energy: -9.266 eV per atom
Density of states at the Fermi level: 19.725 states/eV/cell

Lattice parameters (Å, degrees): 4.3021 3.4914 7.9550 90.00 90.00 90.00
Last column: nearest neighbours and their distance in Å.
Space group Pmma (No. 51)
Unique sites:
1 Pu 0.2500 0.0000 0.2328 (multiplicity 2)  6 Rh 3.00-3.08, 6 Pd 3.11-3.33
2 Pd 0.2500 0.5000 0.5887 (multiplicity 2)  2 Pd 2.57, 1 Rh 2.58
3 Rh 0.2500 0.5000 0.9135 (multiplicity 2)  2 Rh 2.55, 1 Pd 2.58

***

Record 5
The following is a DFT calculation (PBE) of a geometry-optimized Pu5PdRh6 structure.

Summary:
E_form: -452 meV per atom
Magnetization: 2.000 μB/atom
Energy: -10.532 eV per atom
Density of states at the Fermi level: 72.042 states/eV/cell

Lattice parameters (Å, degrees): 4.6041 7.0524 14.1391 90.00 90.00 90.00
Last column: nearest neighbours and their distance in Å.
Space group Immm (No. 71)
Unique sites:
1 Pu 0.0000 0.0000 0.0000 (multiplicity 2)  8 Rh 2.77-2.88
2 Pu 0.0000 0.0000 0.3618 (multiplicity 4)  6 Rh 2.79-2.98, 2 Pd 3.02
3 Pu 0.0000 0.5000 0.3154 (multiplicity 4)  8 Rh 2.81-3.03
4 Pd 0.0000 0.5000 0.0000 (multiplicity 2)  8 Rh 2.98-3.04, 4 Pu 3.02
5 Rh 0.0000 0.2378 0.1657 (multiplicity 8)  6 Pu 2.81-2.98, 1 Pd 2.98
6 Rh 0.0000 0.2823 0.5000 (multiplicity 4)  6 Pu 2.77-3.03, 2 Pd 3.04, 1 Rh 3.07

***

Record 6
The following is a DFT calculation (PBE) of a geometry-optimized PuPd4Rh structure.

Summary:
E_form: -177 meV per atom
Magnetization: 0.686 μB/atom
Energy: -7.253 eV per atom
Density of states at the Fermi level: 73.206 states/eV/cell

Lattice parameters (Å, degrees): 7.4807 7.4807 7.4807 90.00 90.00 90.00
Last column: nearest neighbours and their distance in Å.
Space group F-43m (No. 216)
Unique sites:
1 Pu 0.0000 0.0000 0.0000 (multiplicity 4)  12 Pd 3.10, 4 Rh 3.24
2 Pd 0.1247 0.1247 0.3753 (multiplicity 16)  6 Pd 2.64-2.65
3 Rh 0.2500 0.2500 0.7500 (multiplicity 4)  12 Pd 3.10, 4 Pu 3.24

***

Record 7
The following is a DFT calculation (PBE) of a geometry-optimized Pu4Pd2Rh3 structure.

Summary:
E_form: -381 meV per atom
Magnetization: 2.259 μB/atom
Energy: -10.355 eV per atom
Density of states at the Fermi level: 58.944 states/eV/cell

Lattice parameters (Å, degrees): 9.3353 4.6716 8.5043 90.00 104.71 90.00
Last column: nearest neighbours and their distance in Å.
Space group C2/m (No. 12)
Unique sites:
1 Pu 0.0609 0.0000 0.3467 (multiplicity 4)  4 Rh 2.63-2.91
2 Pu 0.1407 0.5000 0.8878 (multiplicity 4)  3 Rh 2.86-2.95, 3 Pd 2.95-3.03
3 Pd 0.2214 0.5000 0.2464 (multiplicity 4)  3 Rh 2.86-2.96, 6 Pu 2.95-3.07
4 Rh 0.0000 0.0000 0.0000 (multiplicity 2)  6 Pu 2.86-2.95
5 Rh 0.1486 0.5000 0.5538 (multiplicity 4)  4 Pu 2.63-2.91, 1 Rh 2.69, 1 Pd 2.86

***

Record 8
The following is a DFT calculation (PBE) of a geometry-optimized Pu2Pd5Rh structure.

Summary:
E_form: -535 meV per atom
Magnetization: 1.071 μB/atom
Energy: -8.283 eV per atom
Density of states at the Fermi level: 52.753 states/eV/cell

Lattice parameters (Å, degrees): 5.8634 11.7144 4.0871 90.00 90.00 90.00
Last column: nearest neighbours and their distance in Å.
Space group Pbam (No. 55)
Unique sites:
1 Pu 0.2294 0.1190 0.0000 (multiplicity 4)  2 Rh 2.82, 10 Pd 2.91-2.96
2 Pd 0.0000 0.5000 0.5000 (multiplicity 2)  6 Pd 2.89-2.92, 2 Rh 2.93, 4 Pu 2.94
3 Pd 0.0198 0.7490 0.5000 (multiplicity 4)  7 Pd 2.88-2.93, 4 Pu 2.94-2.95, 1 Rh 2.94
4 Pd 0.2331 0.3708 0.0000 (multiplicity 4)  6 Pd 2.88-2.89, 4 Pu 2.91-2.96, 2 Rh 2.99
5 Rh 0.0000 0.0000 0.5000 (multiplicity 2)  4 Pu 2.82, 8 Pd 2.93-2.99

***

Record 9
The following is a DFT calculation (PBE) of a geometry-optimized Pu3Pd2Rh structure.

Summary:
E_form: -414 meV per atom
Magnetization: 2.678 μB/atom
Energy: -10.536 eV per atom
Density of states at the Fermi level: 27.270 states/eV/cell

Lattice parameters (Å, degrees): 3.4503 3.4503 10.6927 90.00 90.00 90.00
Last column: nearest neighbours and their distance in Å.
Space group P4/mmm (No. 123)
Unique sites:
1 Pu 0.0000 0.0000 0.0000 (multiplicity 1)  8 Pd 3.04
2 Pu 0.0000 0.0000 0.3428 (multiplicity 2)  4 Rh 2.96, 4 Pd 3.06
3 Pd 0.5000 0.5000 0.1703 (multiplicity 2)  8 Pu 3.04-3.06
4 Rh 0.5000 0.5000 0.5000 (multiplicity 1)  8 Pu 2.96

***

Record 10
The following is a DFT calculation (PBE) of a geometry-optimized Pu6PdRh2 structure.

Summary:
E_form: -119 meV per atom
Magnetization: 3.780 μB/atom
Polymorph energy (0 for the lowest one): 125 meV/atom
Energy: -11.884 eV per atom
Density of states at the Fermi level: 73.886 states/eV/cell

Lattice parameters (Å, degrees): 4.7851 4.7851 20.4908 90.00 90.00 90.00
Last column: nearest neighbours and their distance in Å.
Space group I4/mmm (No. 139)
Unique sites:
1 Pu 0.0000 0.5000 0.0862 (multiplicity 8)  2 Rh 2.92, 2 Pd 2.97
2 Pu 0.0000 0.5000 0.2500 (multiplicity 4)  4 Rh 2.93
3 Pd 0.0000 0.0000 0.0000 (multiplicity 2)  8 Pu 2.97
4 Rh 0.0000 0.0000 0.3323 (multiplicity 4)  8 Pu 2.92-2.93

***

Record 11
The following is a DFT calculation (PBE) of a geometry-optimized PuPd2Rh structure.

Summary:
E_form: -378 meV per atom
Magnetization: 1.090 μB/atom
Polymorph energy (0 for the lowest one): 112 meV/atom
Energy: -8.395 eV per atom
Density of states at the Fermi level: 40.830 states/eV/cell

Lattice parameters (Å, degrees): 4.0443 17.4514 4.0576 90.00 90.00 90.00
Last column: nearest neighbours and their distance in Å.
Space group Cmcm (No. 63)
Unique sites:
1 Pu 0.0000 0.1845 0.2500 (multiplicity 4)  5 Rh 2.65-2.89
2 Pd 0.0000 0.0569 0.7500 (multiplicity 4)  2 Rh 2.75, 8 Pd 2.83-2.86, 2 Pu 3.01
3 Pd 0.0000 0.4434 0.7500 (multiplicity 4)  2 Rh 2.75, 8 Pd 2.83-2.86, 2 Pu 3.01
4 Rh 0.0000 0.3366 0.2500 (multiplicity 4)  5 Pu 2.65-2.89, 4 Pd 2.75

***

Record 12
The following is a DFT calculation (PBE) of a geometry-optimized Pu2PdRh3 structure.

Summary:
E_form: -494 meV per atom
Magnetization: 1.676 μB/atom
Energy: -9.813 eV per atom
Density of states at the Fermi level: 54.502 states/eV/cell

Lattice parameters (Å, degrees): 5.3745 5.3745 13.0391 90.00 90.00 120.00
Last column: nearest neighbours and their distance in Å.
Space group R-3m (No. 166, hexagonal axes)
Unique sites:
1 Pu 0.0000 0.0000 0.1236 (multiplicity 6)  9 Rh 3.13-3.14, 3 Pd 3.15, 4 Pu 3.22-3.30
2 Pd 0.0000 0.0000 0.5000 (multiplicity 3)  6 Rh 2.67
3 Rh 0.0000 0.5000 0.0000 (multiplicity 9)  2 Pd 2.67, 4 Rh 2.69